Record 1
The following is a PBE-GGA calculation of crystalline FeSbOs3 at its relaxed geometry, from Alexandria.

The calculation puts the relative energy among the computed polymorphs at 0 meV per atom. As for the crystal system: cubic. The calculation puts the raw formation energy at 1.6180 eV per atom.

The structure belongs to space group Pm-3m (No. 221); the cell edges are 4.472, 4.472 and 4.472 Å and the angles 90.00°, 90.00° and 90.00°. The inequivalent atoms are Fe at (0.000, 0.000, 0.000), Sb at (0.500, 0.500, 0.500) and Os at (0.000, 0.000, 0.500).

Record 2
The following is a PBE-GGA calculation of crystalline FeSbOs4 at its relaxed geometry, from Alexandria.

As for the crystal system: cubic. The calculation puts the raw formation energy at 0.8939 eV per atom.

The structure belongs to space group F-43m (No. 216); the cell edges are 7.386, 7.386 and 7.386 Å and the angles 90.00°, 90.00° and 90.00°. The inequivalent atoms are Fe at (0.000, 0.000, 0.000), Sb at (0.250, 0.250, 0.250) and Os at (0.125, 0.125, 0.625).

Record 3
The following is a PBE-GGA calculation of crystalline FeSbOs2 at its relaxed geometry, from Alexandria.

As for the crystal system: monoclinic. The calculation puts the raw formation energy at 0.4416 eV per atom.

The structure belongs to space group C2/m (No. 12); the cell edges are 8.741, 2.928 and 4.898 Å and the angles 90.00°, 100.14° and 90.00°. The inequivalent atoms are Fe at (0.000, 0.000, 0.000), Sb at (0.000, 0.500, 0.500) and Os at (0.237, 0.500, 0.218).

Record 4
The following is a PBE-GGA calculation of crystalline FeSb3Os at its relaxed geometry, from Alexandria.

The calculation puts the relative energy among the computed polymorphs at 0 meV per atom. As for the crystal system: cubic. The calculation puts the raw formation energy at 1.1075 eV per atom.

The structure belongs to space group Pm-3m (No. 221); the cell edges are 4.780, 4.780 and 4.780 Å and the angles 90.00°, 90.00° and 90.00°. The inequivalent atoms are Fe at (0.000, 0.000, 0.000), Sb at (0.000, 0.000, 0.500) and Os at (0.500, 0.500, 0.500).

Record 5
The following is a PBE-GGA calculation of crystalline FeSbOs2 at its relaxed geometry, from Alexandria.

As for the crystal system: tetragonal. The calculation puts the raw formation energy at 1.1065 eV per atom.

The structure belongs to space group I-42d (No. 122); the cell edges are 5.557, 5.557 and 11.119 Å and the angles 90.00°, 90.00° and 90.00°. The inequivalent atoms are Fe at (0.000, 0.000, 0.000), Sb at (0.000, 0.000, 0.500) and Os at (0.193, 0.250, 0.125).

Record 6
The following is a PBE-GGA calculation of crystalline FeSbOs2 at its relaxed geometry, from Alexandria.

As for the crystal system: monoclinic. The calculation puts the raw formation energy at 0.4723 eV per atom.

The structure belongs to space group Pm (No. 6); the cell edges are 2.844, 3.842 and 6.019 Å and the angles 90.00°, 103.56° and 90.00°. The inequivalent atoms are Fe at (0.000, 0.000, 0.000), Sb at (0.384, 0.500, 0.766), Os at (0.211, 0.000, 0.427) and Os at (0.614, 0.500, 0.231).

Record 7
The following is a PBE-GGA calculation of crystalline FeSbOs2 at its relaxed geometry, from Alexandria.

As for the crystal system: tetragonal. The calculation puts the raw formation energy at 0.5167 eV per atom.

The structure belongs to space group P4/mmm (No. 123); the cell edges are 4.073, 4.073 and 3.678 Å and the angles 90.00°, 90.00° and 90.00°. The inequivalent atoms are Fe at (0.000, 0.000, 0.000), Sb at (0.500, 0.500, 0.000) and Os at (0.000, 0.500, 0.500).

Record 8
The following is a PBE-GGA calculation of crystalline FeSbOs2 at its relaxed geometry, from Alexandria.

As for the crystal system: monoclinic. The calculation puts the raw formation energy at 0.6269 eV per atom.

The structure belongs to space group P2/m (No. 10); the cell edges are 2.892, 4.451 and 4.912 Å and the angles 90.00°, 92.54° and 90.00°. The inequivalent atoms are Fe at (0.000, 0.000, 0.000), Sb at (0.500, 0.000, 0.500) and Os at (0.249, 0.500, 0.771).

Record 9
The following is a PBE-GGA calculation of crystalline FeSbOs2 at its relaxed geometry, from Alexandria.

As for the crystal system: orthorhombic. The calculation puts the raw formation energy at 0.8414 eV per atom.

The structure belongs to space group Cmmm (No. 65); the cell edges are 2.941, 4.830 and 9.230 Å and the angles 90.00°, 90.00° and 90.00°. The inequivalent atoms are Fe at (0.000, 0.000, 0.000), Sb at (0.000, 0.000, 0.500) and Os at (0.000, 0.500, 0.220).

Record 10
The following is a PBE-GGA calculation of crystalline FeSbOs2 at its relaxed geometry, from Alexandria.

As for the crystal system: monoclinic. The calculation puts the raw formation energy at 0.4859 eV per atom.

The structure belongs to space group Cm (No. 8); the cell edges are 9.009, 2.928 and 4.705 Å and the angles 90.00°, 99.34° and 90.00°. The inequivalent atoms are Fe at (0.000, 0.000, 0.000), Sb at (0.243, 0.000, 0.747), Os at (0.242, 0.500, 0.235) and Os at (0.484, 0.000, 0.448).

Record 11
The following is a PBE-GGA calculation of crystalline FeSbOs2 at its relaxed geometry, from Alexandria.

As for the crystal system: trigonal. The calculation puts the raw formation energy at 0.6466 eV per atom.

The structure belongs to space group R-3m (No. 166, hexagonal axes); the cell edges are 2.9627, 2.9627 and 24.8938 Å and the angles 90.00°, 90.00° and 120.00°. The inequivalent atoms are Fe at (0.0000, 0.0000, 0.0000), Sb at (0.0000, 0.0000, 0.5000) and Os at (0.0000, 0.0000, 0.2552).

Record 12
The following is a PBE-GGA calculation of crystalline FeSbOs2 at its relaxed geometry, from Alexandria.

As for the crystal system: orthorhombic. The calculation puts the raw formation energy at 0.6056 eV per atom.

The structure belongs to space group Imm2 (No. 44); the cell edges are 3.088, 4.414 and 8.933 Å and the angles 90.00°, 90.00° and 90.00°. The inequivalent atoms are Fe at (0.000, 0.000, 0.000), Sb at (0.000, 0.500, 0.735), Os at (0.000, 0.000, 0.484) and Os at (0.000, 0.500, 0.257).

Record 13
The following is a PBE-GGA calculation of crystalline FeSb4Os at its relaxed geometry, from Alexandria.

The calculation puts the relative energy among the computed polymorphs at 1252 meV per atom. As for the crystal system: cubic. The calculation puts the raw formation energy at 1.4641 eV per atom.

The structure belongs to space group F-43m (No. 216); the cell edges are 8.427, 8.427 and 8.427 Å and the angles 90.00°, 90.00° and 90.00°. The inequivalent atoms are Fe at (0.000, 0.000, 0.000), Sb at (0.125, 0.125, 0.375) and Os at (0.250, 0.250, 0.750).

Record 14
The following is a PBE-GGA calculation of crystalline FeSb4Os at its relaxed geometry, from Alexandria.

The calculation puts the relative energy among the computed polymorphs at 0 meV per atom. As for the crystal system: monoclinic. The calculation puts the raw formation energy at 0.2117 eV per atom.

The structure belongs to space group P2_1/c (No. 14); the cell edges are 6.281, 6.616 and 6.557 Å and the angles 90.00°, 96.42° and 90.00°. The inequivalent atoms are Fe at (0.000, 0.000, 0.000), Sb at (0.116, 0.146, 0.379), Sb at (0.381, 0.637, 0.352) and Os at (0.500, 0.000, 0.500).

Record 15
The following is a PBE-GGA calculation of crystalline Sc2FeSbOs at its relaxed geometry, from Alexandria.

As for the crystal system: tetragonal. The calculation puts the raw formation energy at 1.1942 eV per atom.

The structure belongs to space group P4/mmm (No. 123); the cell edges are 5.250, 5.250 and 4.795 Å and the angles 90.00°, 90.00° and 90.00°. The inequivalent atoms are Sc at (0.000, 0.500, 0.000), Fe at (0.000, 0.000, 0.500), Sb at (0.500, 0.500, 0.000) and Os at (0.500, 0.500, 0.500).

Record 16
The following is a PBE-GGA calculation of crystalline FeSbTe2Os at its relaxed geometry, from Alexandria.

The calculation puts the relative energy among the computed polymorphs at 0 meV per atom. As for the crystal system: tetragonal. The calculation puts the raw formation energy at 1.1583 eV per atom.

The structure belongs to space group P4/mmm (No. 123); the cell edges are 5.339, 5.339 and 5.003 Å and the angles 90.00°, 90.00° and 90.00°. The inequivalent atoms are Fe at (0.000, 0.000, 0.000), Sb at (0.500, 0.500, 0.000), Te at (0.000, 0.500, 0.500) and Os at (0.500, 0.500, 0.500).

Record 17
The following is a PBE-GGA calculation of crystalline FeSb2TeOs at its relaxed geometry, from Alexandria.

The calculation puts the relative energy among the computed polymorphs at 0 meV per atom. As for the crystal system: tetragonal. The calculation puts the raw formation energy at 1.1158 eV per atom.

The structure belongs to space group P4/mmm (No. 123); the cell edges are 4.994, 4.994 and 5.726 Å and the angles 90.00°, 90.00° and 90.00°. The inequivalent atoms are Fe at (0.000, 0.000, 0.000), Sb at (0.000, 0.500, 0.500), Te at (0.500, 0.500, 0.000) and Os at (0.500, 0.500, 0.500).

Record 18
The following is a PBE-GGA calculation of crystalline ScFeOs2 at its relaxed geometry, from Alexandria.

The calculation puts the relative energy among the computed polymorphs at 56 meV per atom. As for the crystal system: cubic. Its formation energy from the elements is 0.052 eV per atom.

The structure belongs to space group F-43m (No. 216); the cell edges are 6.199, 6.199 and 6.199 Å and the angles 90.00°, 90.00° and 90.00°. The inequivalent atoms are Sc at (0.000, 0.000, 0.000), Fe at (0.250, 0.250, 0.750), Os at (0.000, 0.000, 0.500) and Os at (0.250, 0.250, 0.250).

Record 19
The following is a PBE-GGA calculation of crystalline ScFeOs3 at its relaxed geometry, from Alexandria.

The calculation puts the relative energy among the computed polymorphs at 1604 meV per atom. As for the crystal system: cubic. Its formation energy from the elements is 2.689 eV per atom.

The structure belongs to space group Pm-3m (No. 221); the cell edges are 4.546, 4.546 and 4.546 Å and the angles 90.00°, 90.00° and 90.00°. The inequivalent atoms are Sc at (0.000, 0.000, 0.000), Fe at (0.500, 0.500, 0.500) and Os at (0.000, 0.000, 0.500).

Record 20
The following is a PBE-GGA calculation of crystalline Sc2FeOs at its relaxed geometry, from Alexandria.

As for the crystal system: orthorhombic. Its formation energy from the elements is -0.175 eV per atom.

The structure belongs to space group Imm2 (No. 44); the cell edges are 3.166, 4.467 and 9.506 Å and the angles 90.00°, 90.00° and 90.00°. The inequivalent atoms are Sc at (0.000, 0.000, 0.000), Sc at (0.000, 0.500, 0.220), Fe at (0.000, 0.500, 0.758) and Os at (0.000, 0.000, 0.466).

Record 21
The following is a PBE-GGA calculation of crystalline ScFeOs at its relaxed geometry, from Alexandria.

The calculation puts the relative energy among the computed polymorphs at 592 meV per atom. As for the crystal system: trigonal. Its formation energy from the elements is 0.233 eV per atom.

The structure belongs to space group P3m1 (No. 156); the cell edges are 2.8594, 2.8594 and 6.5089 Å and the angles 90.00°, 90.00° and 120.00°. The inequivalent atoms are Sc at (0.0000, 0.0000, 0.0000), Fe at (0.6667, 0.3333, 0.3400) and Os at (0.3333, 0.6667, 0.6411).

Record 22
The following is a PBE-GGA calculation of crystalline Sc2FeOs at its relaxed geometry, from Alexandria.

As for the crystal system: tetragonal. Its formation energy from the elements is 0.312 eV per atom.

The structure belongs to space group I-42d (No. 122); the cell edges are 7.090, 7.090 and 5.585 Å and the angles 90.00°, 90.00° and 90.00°. The inequivalent atoms are Sc at (0.247, 0.750, 0.125), Fe at (0.000, 0.000, 0.000) and Os at (0.000, 0.000, 0.500).

Record 23
The following is a PBE-GGA calculation of crystalline ScFeOs2 at its relaxed geometry, from Alexandria.

The calculation puts the relative energy among the computed polymorphs at 203 meV per atom. As for the crystal system: trigonal. Its formation energy from the elements is 0.200 eV per atom.

The structure belongs to space group R-3m (No. 166, hexagonal axes); the cell edges are 2.8127, 2.8127 and 26.3338 Å and the angles 90.00°, 90.00° and 120.00°. The inequivalent atoms are Sc at (0.0000, 0.0000, 0.0000), Fe at (0.0000, 0.0000, 0.5000) and Os at (0.0000, 0.0000, 0.2442).

Record 24
The following is a PBE-GGA calculation of crystalline ScFeOs2 at its relaxed geometry, from Alexandria.

The calculation puts the relative energy among the computed polymorphs at 49 meV per atom. As for the crystal system: orthorhombic. Its formation energy from the elements is 0.045 eV per atom.

The structure belongs to space group Amm2 (No. 38); the cell edges are 4.217, 2.806 and 9.983 Å and the angles 90.00°, 90.00° and 90.00°. The inequivalent atoms are Sc at (0.000, 0.000, 0.000), Fe at (0.500, 0.000, 0.608), Os at (0.000, 0.000, 0.738) and Os at (0.500, 0.000, 0.332).

Record 25
The following is a PBE-GGA calculation of crystalline ScFeOs2 at its relaxed geometry, from Alexandria.

The calculation puts the relative energy among the computed polymorphs at 395 meV per atom. As for the crystal system: tetragonal. Its formation energy from the elements is 0.391 eV per atom.

The structure belongs to space group I-42d (No. 122); the cell edges are 7.372, 7.372 and 4.801 Å and the angles 90.00°, 90.00° and 90.00°. The inequivalent atoms are Sc at (0.000, 0.000, 0.000), Fe at (0.000, 0.000, 0.500) and Os at (0.185, 0.250, 0.625).

Record 26
The following is a PBE-GGA calculation of crystalline ScFe2Os2 at its relaxed geometry, from Alexandria.

The calculation puts the relative energy among the computed polymorphs at 0 meV per atom. As for the crystal system: tetragonal. Its formation energy from the elements is 0.019 eV per atom.

The structure belongs to space group P4/mbm (No. 127); the cell edges are 7.218, 7.218 and 2.676 Å and the angles 90.00°, 90.00° and 90.00°. The inequivalent atoms are Sc at (0.000, 0.000, 0.000), Fe at (0.118, 0.382, 0.000) and Os at (0.176, 0.676, 0.500).

Record 27
The following is a PBE-GGA calculation of crystalline ScFeOs2 at its relaxed geometry, from Alexandria.

The calculation puts the relative energy among the computed polymorphs at 64 meV per atom. As for the crystal system: tetragonal. Its formation energy from the elements is 0.060 eV per atom.

The structure belongs to space group P4mm (No. 99); the cell edges are 2.818, 2.818 and 7.684 Å and the angles 90.00°, 90.00° and 90.00°. The inequivalent atoms are Sc at (0.000, 0.000, 0.000), Fe at (0.500, 0.500, 0.264), Os at (0.000, 0.000, 0.495) and Os at (0.500, 0.500, 0.718).

Record 28
The following is a PBE-GGA calculation of crystalline ScFe2Os2 at its relaxed geometry, from Alexandria.

The calculation puts the relative energy among the computed polymorphs at 55 meV per atom. As for the crystal system: tetragonal. Its formation energy from the elements is 0.074 eV per atom.

The structure belongs to space group P4/mbm (No. 127); the cell edges are 7.294, 7.294 and 2.658 Å and the angles 90.00°, 90.00° and 90.00°. The inequivalent atoms are Sc at (0.000, 0.000, 0.000), Fe at (0.169, 0.331, 0.500) and Os at (0.126, 0.626, 0.000).